Record 1
# PBE-GGA UTlNiSe4, optimized geometry
data_UTlNiSe4
_chemical_formula_sum 'U2 Tl2 Ni2 Se8'
_symmetry_space_group_name_H-M 'P 1 21/m 1'
_symmetry_Int_Tables_number 11
_symmetry_space_group_name_Hall '-P 2yb'
_cell_length_a 6.7996
_cell_length_b 5.7870
_cell_length_c 9.2688
_cell_angle_alpha 90.00
_cell_angle_beta 106.19
_cell_angle_gamma 90.00
loop_
_atom_site_label
_atom_site_type_symbol
_atom_site_fract_x
_atom_site_fract_y
_atom_site_fract_z
U1 U 0.2353 0.2500 0.4466
Tl1 Tl 0.2386 0.2500 0.9519
Ni1 Ni 0.2475 0.7500 0.6491
Se1 Se 0.0516 0.7500 0.8249
Se2 Se 0.0662 0.7500 0.4010
Se3 Se 0.4818 0.5086 0.2942
# * V: 350.3 Å³ per cell
# * raw formation energy: -0.681 eV per atom
# * Fermi-level density of states: 11.8 states/eV per cell
# * crystal system: monoclinic

=====

Record 2
# PBE-GGA Sm12SbRu6, optimized geometry
data_Sm12SbRu6
_chemical_formula_sum 'Sm24 Sb2 Ru12'
_symmetry_space_group_name_H-M 'I m -3'
_symmetry_Int_Tables_number 204
_symmetry_space_group_name_Hall '-I 2 2 3'
_cell_length_a 10.0512
_cell_length_b 10.0512
_cell_length_c 10.0512
_cell_angle_alpha 90.00
_cell_angle_beta 90.00
_cell_angle_gamma 90.00
loop_
_atom_site_label
_atom_site_type_symbol
_atom_site_fract_x
_atom_site_fract_y
_atom_site_fract_z
Sm1 Sm 0.0000 0.2976 0.1961
Sb1 Sb 0.0000 0.0000 0.0000
Ru1 Ru 0.0000 0.1216 0.5000
# * V: 1015.4 Å³ per cell
# * raw formation energy: -0.282 eV per atom
# * Fermi-level density of states: 33.9 states/eV per cell
# * crystal system: cubic

=====

Record 3
# PBE-GGA KHgIO2, optimized geometry
data_KHgIO2
_chemical_formula_sum 'K1 Hg1 I1 O2'
_symmetry_space_group_name_H-M 'P 4/m m m'
_symmetry_Int_Tables_number 123
_symmetry_space_group_name_Hall '-P 4 2'
_cell_length_a 4.8034
_cell_length_b 4.8034
_cell_length_c 7.4421
_cell_angle_alpha 90.00
_cell_angle_beta 90.00
_cell_angle_gamma 90.00
loop_
_atom_site_label
_atom_site_type_symbol
_atom_site_fract_x
_atom_site_fract_y
_atom_site_fract_z
K1 K 0.0000 0.0000 0.0000
Hg1 Hg 0.5000 0.5000 0.5000
I1 I 0.0000 0.0000 0.5000
O1 O 0.0000 0.5000 0.0000
# * V: 171.7 Å³ per cell
# * raw formation energy: 0.398 eV per atom
# * distance to the lowest polymorph of the same formula: 499 meV/atom
# * Fermi-level density of states: 5.6 states/eV per cell
# * crystal system: tetragonal